# TiTc4

A geometry-optimized TiTc4 structure (PBE, Alexandria via LeMat-Bulk).

Results
* energy of formation from the pure elements: 1468 meV/atom
* energy: -8.404 eV per atom
* magnetic moment: 1.14 μB per cell

a b c (Å): 4.440 4.440 4.440
angles (deg): 90.00 90.00 90.00
Site moments in Bohr magnetons follow the coordinates.
Element x y z (fractional)
Tc  0.000  0.000  0.000  1.77
Tc  0.500  0.000  0.500  -0.26
Tc  0.000  0.500  0.500  -0.26
Tc  0.500  0.500  0.000  -0.26
Ti  0.500  0.500  0.500  0.02